First-principles (GGA-PBE) data for Ga3Pb2O8 after structural relaxation, as listed in Alexandria.

Cell: 6.320 6.320 5.180 Å, 108.24 108.24 58.11°
Atoms (fractional coordinates):
Ga: 0.000 0.000 0.000
Ga: 0.258 0.742 0.500
Ga: 0.742 0.258 0.500
Pb: 0.281 0.281 0.828
Pb: 0.719 0.719 0.172
O: 0.099 0.099 0.411
O: 0.105 0.667 0.097
O: 0.333 0.895 0.903
O: 0.397 0.397 0.561
O: 0.603 0.603 0.439
O: 0.667 0.105 0.097
O: 0.895 0.333 0.903
O: 0.901 0.901 0.589

Summary:
ΔE_f (raw) = -1.40 eV/atom
Magnetization = 0.00 μB/f.u.
Symmetry = C2/m, No. 12